Arrangement a

Computed, not measured: a geometry-optimized YSn2I structure at the PBE level of DFT.

```
YSn2I
1.0
7.8495 0.0000 0.0000
0.0000 7.8495 0.0000
0.0000 0.0000 7.8495
Y Sn I
4 8 4
Cartesian
0.0000 0.0000 0.0000 Y
0.0000 3.9248 3.9248 Y
3.9248 0.0000 3.9248 Y
3.9248 3.9248 0.0000 Y
1.9624 1.9624 1.9624 Sn
1.9624 1.9624 5.8871 Sn
1.9624 5.8871 1.9624 Sn
1.9624 5.8871 5.8871 Sn
5.8871 1.9624 1.9624 Sn
5.8871 1.9624 5.8871 Sn
5.8871 5.8871 1.9624 Sn
5.8871 5.8871 5.8871 Sn
0.0000 0.0000 3.9248 I
0.0000 3.9248 0.0000 I
3.9248 0.0000 0.0000 I
3.9248 3.9248 3.9248 I
```

N(E_F)	3.5	states/eV/f.u.
volume	484	Å³/cell
M_tot	0.0	μB/f.u.


Arrangement b

Computed, not measured: a geometry-optimized YSn2I structure at the PBE level of DFT.

```
YSn2I
1.0
4.3581 0.0000 0.0000
0.0000 4.3581 0.0000
0.0000 0.0000 25.6666
Y Sn I
4 8 4
Cartesian
0.0000 0.0000 0.0000 Y
0.0000 2.1791 6.4166 Y
2.1791 0.0000 19.2499 Y
2.1791 2.1791 12.8333 Y
1.0235 1.0895 3.2083 Sn
1.0895 3.2025 9.6250 Sn
1.0895 3.3346 22.4583 Sn
1.1556 1.0895 16.0416 Sn
3.2025 3.2686 16.0416 Sn
3.2686 1.0235 22.4583 Sn
3.2686 1.1556 9.6250 Sn
3.3346 3.2686 3.2083 Sn
0.0000 0.0000 12.8333 I
0.0000 2.1791 19.2499 I
2.1791 0.0000 6.4166 I
2.1791 2.1791 0.0000 I
```

N(E_F)	3.2	states/eV/f.u.
volume	487	Å³/cell
M_tot	0.0	μB/f.u.


Relative energies in kJ/mol of atoms: arrangement a 27.6; arrangement b 0.0